Entry 1:
Compound: TmZr3Zn8
Source: Alexandria
Functional: PBE
Structure: relaxed

Unit cell a=5.320 b=5.320 c=8.499 alpha=90.00 beta=90.00 gamma=120.00
Positions (direct):
Zn 0.163 0.326 0.247
Zn 0.506 0.494 0.753
Zn 0.163 0.837 0.247
Zn 0.333 0.667 0.999
Zn 0.674 0.837 0.247
Zn 0.506 0.012 0.753
Zn 0.988 0.494 0.753
Zn 0.333 0.667 0.498
Zr 0.000 0.000 0.944
Zr 0.667 0.333 0.426
Zr 0.667 0.333 0.066
Tm 0.000 0.000 0.566

Crystal system: trigonal
M_tot in μB per formula unit: 2.401
Energy relative to the elements in kJ per mole of atoms: -26.3
Offset from the most stable computed form in meV/atom: 9
Symmetry: P3m1, No. 156

***

Entry 2:
Compound: Fe4Ni15Pt
Source: Alexandria
Functional: PBE
Structure: relaxed

Unit cell a=3.581 b=3.581 c=17.678 alpha=90.00 beta=90.00 gamma=90.00
Positions (direct):
Ni 0.000 0.500 0.500
Ni 0.000 0.500 0.697
Ni 0.500 0.000 0.303
Ni 0.000 0.500 0.894
Ni 0.500 0.500 0.000
Ni 0.500 0.000 0.697
Ni 0.000 0.500 0.303
Ni 0.000 0.500 0.106
Ni 0.500 0.000 0.894
Ni 0.500 0.500 0.599
Ni 0.500 0.500 0.401
Ni 0.500 0.500 0.796
Ni 0.500 0.500 0.204
Ni 0.500 0.000 0.500
Ni 0.500 0.000 0.106
Fe 0.000 0.000 0.401
Fe 0.000 0.000 0.797
Fe 0.000 0.000 0.599
Fe 0.000 0.000 0.203
Pt 0.000 0.000 0.000

Crystal system: tetragonal
M_tot in μB per formula unit: 1.449
Energy relative to the elements in kJ per mole of atoms: -5.3
Symmetry: P4/mmm, No. 123

***

Entry 3:
Compound: ZrBrN3
Source: Alexandria
Functional: PBE
Structure: relaxed

Unit cell a=4.298 b=4.298 c=4.298 alpha=90.00 beta=90.00 gamma=90.00
Positions (direct):
N 0.500 0.000 0.000
N 0.000 0.000 0.500
N 0.000 0.500 0.000
Br 0.500 0.500 0.500
Zr 0.000 0.000 0.000

Crystal system: cubic
M_tot in μB per formula unit: 0.000
Formation energy without anion corrections in kJ/mol of formula units: 632.8
Symmetry: Pm-3m, No. 221

***

Entry 4:
Compound: Ba2Zn9Rh3
Source: Alexandria
Functional: PBE
Structure: relaxed

Unit cell a=7.915 b=7.915 c=10.965 alpha=92.22 beta=107.35 gamma=122.23
Positions (direct):
Zn 0.659 0.718 0.750
Zn 0.881 0.131 0.750
Zn 0.227 0.526 0.576
Zn 0.532 0.091 0.250
Zn 0.341 0.282 0.250
Zn 0.773 0.474 0.424
Zn 0.468 0.909 0.750
Zn 0.164 0.001 0.005
Zn 0.119 0.869 0.250
Zn 0.188 0.691 0.050
Zn 0.141 0.138 0.450
Zn 0.496 0.159 0.495
Zn 0.836 0.999 0.995
Zn 0.450 0.651 0.924
Zn 0.859 0.862 0.550
Zn 0.504 0.841 0.505
Zn 0.812 0.309 0.950
Zn 0.550 0.349 0.076
Ba 0.345 0.234 0.761
Ba 0.973 0.585 0.739
Ba 0.655 0.766 0.239
Ba 0.027 0.415 0.261
Rh 0.186 0.348 0.003
Rh 0.500 0.500 0.500
Rh 0.845 0.182 0.497
Rh 0.814 0.652 0.997
Rh 0.500 0.000 0.000
Rh 0.155 0.818 0.503

Crystal system: monoclinic
M_tot in μB per formula unit: 0.000
Energy relative to the elements in kJ per mole of atoms: -24.2
Symmetry: C2/c, No. 15

***

Entry 5:
Compound: ErSc4Ir5
Source: Alexandria
Functional: PBE
Structure: relaxed

Unit cell a=3.182 b=3.182 c=17.124 alpha=90.00 beta=90.00 gamma=90.00
Positions (direct):
Ir 0.500 0.500 0.889
Ir 0.500 0.500 0.500
Ir 0.500 0.500 0.695
Ir 0.500 0.500 0.305
Ir 0.500 0.500 0.111
Er 0.000 0.000 0.000
Sc 0.000 0.000 0.206
Sc 0.000 0.000 0.794
Sc 0.000 0.000 0.402
Sc 0.000 0.000 0.598

Crystal system: tetragonal
M_tot in μB per formula unit: 0.000
Energy relative to the elements in kJ per mole of atoms: -94.8
Symmetry: P4/mmm, No. 123

***

Entry 6:
Compound: Mn3RuS
Source: Alexandria
Functional: PBE
Structure: relaxed

Unit cell a=4.042 b=4.042 c=4.042 alpha=90.00 beta=90.00 gamma=90.00
Positions (direct):
Mn 0.000 0.000 0.500
Mn 0.000 0.500 0.000
Mn 0.500 0.000 0.000
S 0.000 0.000 0.000
Ru 0.500 0.500 0.500

Crystal system: cubic
M_tot in μB per formula unit: 0.000
Formation energy without anion corrections in kJ/mol of formula units: 297.7
Offset from the most stable computed form in meV/atom: 0
Symmetry: Pm-3m, No. 221